# K3Pr3HoTe8

A relaxed structure of K3Pr3HoTe8 (PBE, Alexandria).

Lattice parameters (Å, degrees): 15.719 9.068 9.989 90.00 121.65 90.00
Space group C2/m (No. 12)
Inequivalent atoms, fractional coordinates:
K 0.000 0.000 0.000 [2 per cell]
K 0.250 0.250 0.000 [4 per cell]
Pr 0.000 0.500 0.500 [2 per cell]
Pr 0.250 0.250 0.500 [4 per cell]
Ho 0.000 0.000 0.500 [2 per cell]
Te 0.011 0.243 0.290 [8 per cell]
Te 0.232 0.000 0.710 [4 per cell]
Te 0.239 0.500 0.717 [4 per cell]

Calculated values
As for the energy: -134.36 eV for the cell shown. The density of states at the Fermi level comes out at 8.5 states/eV/f.u.

***

# Na2In4Au5

A relaxed structure of Na2In4Au5 (PBE, Alexandria).

Lattice parameters (Å, degrees): 5.778 10.078 18.297 90.00 90.00 90.00
Space group Fmmm (No. 69)
Inequivalent atoms, fractional coordinates:
Na 0.000 0.000 0.172 [8 per cell]
In 0.000 0.159 0.373 [16 per cell]
Au 0.000 0.000 0.500 [4 per cell]
Au 0.250 0.250 0.000 [8 per cell]
Au 0.250 0.250 0.250 [8 per cell]

Calculated values
The calculated formation energy is -214 meV per atom. The density of states at the Fermi level comes out at 3.2 states/eV/f.u.

***

# BaLi5Tl3

A relaxed structure of BaLi5Tl3 (PBE, Alexandria).

Lattice parameters (Å, degrees): 4.854 13.916 13.540 90.00 90.00 90.00
Space group Cmcm (No. 63)
Inequivalent atoms, fractional coordinates:
Ba 0.000 0.163 0.250 [4 per cell]
Li 0.000 0.000 0.000 [4 per cell]
Li 0.000 0.195 0.547 [8 per cell]
Li 0.000 0.425 0.147 [8 per cell]
Tl 0.000 0.117 0.750 [4 per cell]
Tl 0.000 0.393 0.557 [8 per cell]

Calculated values
The calculated formation energy is -202 meV per atom. The density of states at the Fermi level comes out at 5.8 states/eV/f.u.

***

# MgTl4Pb5

A relaxed structure of MgTl4Pb5 (PBE, Alexandria).

Lattice parameters (Å, degrees): 3.474 3.474 25.116 90.00 90.00 90.00
Space group P4/mmm (No. 123)
Inequivalent atoms, fractional coordinates:
Mg 0.000 0.000 0.000 [1 per cell]
Tl 0.000 0.000 0.189 [2 per cell]
Tl 0.000 0.000 0.397 [2 per cell]
Pb 0.500 0.500 0.084 [2 per cell]
Pb 0.500 0.500 0.292 [2 per cell]
Pb 0.500 0.500 0.500 [1 per cell]

Calculated values
The calculated formation energy is -11 meV per atom. The density of states at the Fermi level comes out at 4.4 states/eV/f.u.

***

# TaTi2Ga2

A relaxed structure of TaTi2Ga2 (PBE, Alexandria).

Lattice parameters (Å, degrees): 7.648 7.648 2.838 90.00 90.00 90.00
Space group P4/mbm (No. 127)
Inequivalent atoms, fractional coordinates:
Ta 0.000 0.000 0.000 [2 per cell]
Ti 0.122 0.378 0.000 [4 per cell]
Ga 0.177 0.677 0.500 [4 per cell]

Calculated values
The calculated formation energy is -59 meV per atom. The density of states at the Fermi level comes out at 4.7 states/eV/f.u.

***

# ScAs3Se

A relaxed structure of ScAs3Se (PBE, Alexandria).

Lattice parameters (Å, degrees): 5.089 5.089 5.089 90.00 90.00 90.00
Space group Pm-3m (No. 221)
Inequivalent atoms, fractional coordinates:
Sc 0.000 0.000 0.000 [1 per cell]
As 0.000 0.000 0.500 [3 per cell]
Se 0.500 0.500 0.500 [1 per cell]

Calculated values
As for the energy: -21.53 eV for the cell shown. The density of states at the Fermi level comes out at 6.8 states/eV/f.u.

***

# Ru3Se

A relaxed structure of Ru3Se (PBE, Alexandria).

Lattice parameters (Å, degrees): 2.891 3.995 5.246 90.00 104.99 90.00
Space group P2/m (No. 10)
Inequivalent atoms, fractional coordinates:
Ru 0.000 0.000 0.000 [1 per cell]
Ru 0.373 0.500 0.745 [2 per cell]
Se 0.000 0.000 0.500 [1 per cell]

Calculated values
As for the energy: -30.14 eV for the cell shown. The density of states at the Fermi level comes out at 4.0 states/eV/f.u.

***

# Rb2ScI

A relaxed structure of Rb2ScI (PBE, Alexandria).

Lattice parameters (Å, degrees): 10.487 10.487 7.799 90.00 90.00 90.00
Space group I-42d (No. 122)
Inequivalent atoms, fractional coordinates:
Rb 0.208 0.250 0.125 [8 per cell]
Sc 0.000 0.000 0.500 [4 per cell]
I 0.000 0.000 0.000 [4 per cell]

Calculated values
As for the energy: -37.33 eV for the cell shown. The density of states at the Fermi level comes out at 9.3 states/eV/f.u.

***

# K2Pb

A relaxed structure of K2Pb (PBE, Alexandria).

Lattice parameters (Å, degrees): 3.799 20.594 6.365 90.00 90.00 90.00
Space group Cmcm (No. 63)
Inequivalent atoms, fractional coordinates:
K 0.000 0.047 0.250 [4 per cell]
K 0.000 0.280 0.750 [4 per cell]
Pb 0.000 0.383 0.250 [4 per cell]

Calculated values
The calculated formation energy is -16 meV per atom. The density of states at the Fermi level comes out at 3.7 states/eV/f.u.

***

# Al2ZnCr2

A relaxed structure of Al2ZnCr2 (PBE, Alexandria).

Lattice parameters (Å, degrees): 7.027 7.027 2.990 90.00 90.00 90.00
Space group P4/mbm (No. 127)
Inequivalent atoms, fractional coordinates:
Al 0.129 0.371 0.000 [4 per cell]
Zn 0.000 0.000 0.000 [2 per cell]
Cr 0.169 0.669 0.500 [4 per cell]

Calculated values
The calculated formation energy is 145 meV per atom. The density of states at the Fermi level comes out at 2.1 states/eV/f.u.

***

# SrVCu2Ir

A relaxed structure of SrVCu2Ir (PBE, Alexandria).

Lattice parameters (Å, degrees): 4.836 4.836 5.057 90.00 90.00 90.00
Space group P4/mmm (No. 123)
Inequivalent atoms, fractional coordinates:
Sr 0.000 0.000 0.000 [1 per cell]
V 0.500 0.500 0.500 [1 per cell]
Cu 0.000 0.500 0.000 [2 per cell]
Ir 0.000 0.000 0.500 [1 per cell]

Calculated values
The calculated formation energy is 2178 meV per atom. The density of states at the Fermi level comes out at 6.8 states/eV/f.u.

***

# Tb3AgHg4

A relaxed structure of Tb3AgHg4 (PBE, Alexandria).

Lattice parameters (Å, degrees): 3.551 6.682 17.891 90.00 90.00 90.00
Space group Immm (No. 71)
Inequivalent atoms, fractional coordinates:
Tb 0.000 0.000 0.000 [2 per cell]
Tb 0.000 0.500 0.227 [4 per cell]
Ag 0.000 0.000 0.500 [2 per cell]
Hg 0.000 0.269 0.377 [8 per cell]

Calculated values
The calculated formation energy is -272 meV per atom. The density of states at the Fermi level comes out at 4.2 states/eV/f.u.

***

# Li2ScAu

A relaxed structure of Li2ScAu (PBE, Alexandria).

Lattice parameters (Å, degrees): 3.409 3.475 6.421 90.00 90.00 90.00
Space group Pmm2 (No. 25)
Inequivalent atoms, fractional coordinates:
Li 0.000 0.000 0.000 [1 per cell]
Li 0.500 0.500 0.212 [1 per cell]
Sc 0.500 0.500 0.666 [1 per cell]
Au 0.000 0.000 0.444 [1 per cell]

Calculated values
The calculated formation energy is -345 meV per atom. The density of states at the Fermi level comes out at 2.1 states/eV/f.u.

***

# RbNiPd2

A relaxed structure of RbNiPd2 (PBE, Alexandria).

Lattice parameters (Å, degrees): 5.301 5.301 15.967 90.00 90.00 90.00
Space group I-42d (No. 122)
Inequivalent atoms, fractional coordinates:
Rb 0.000 0.000 0.000 [4 per cell]
Ni 0.000 0.000 0.500 [4 per cell]
Pd 0.028 0.250 0.625 [8 per cell]

Calculated values
The calculated formation energy is 492 meV per atom. The density of states at the Fermi level comes out at 4.4 states/eV/f.u.

***

# Sc3TcO

A relaxed structure of Sc3TcO (PBE, Alexandria).

Lattice parameters (Å, degrees): 8.448 6.039 8.009 90.00 118.02 90.00
Space group P2_1/c (No. 14)
Inequivalent atoms, fractional coordinates:
Sc 0.017 0.024 0.267 [4 per cell]
Sc 0.281 0.236 0.140 [4 per cell]
Sc 0.367 0.707 0.934 [4 per cell]
Tc 0.121 0.735 0.559 [4 per cell]
O 0.347 0.156 0.428 [4 per cell]

Calculated values
As for the energy: -160.73 eV for the cell shown. The density of states at the Fermi level comes out at 1.3 states/eV/f.u.

***

# LuPaCo4

A relaxed structure of LuPaCo4 (PBE, Alexandria).

Lattice parameters (Å, degrees): 7.020 7.020 7.020 90.00 90.00 90.00
Space group F-43m (No. 216)
Inequivalent atoms, fractional coordinates:
Lu 0.000 0.000 0.000 [4 per cell]
Pa 0.250 0.250 0.250 [4 per cell]
Co 0.126 0.126 0.626 [16 per cell]

Calculated values
The calculated formation energy is -286 meV per atom. The density of states at the Fermi level comes out at 8.2 states/eV/f.u.

***

# RbZn3Ag

A relaxed structure of RbZn3Ag (PBE, Alexandria).

Lattice parameters (Å, degrees): 5.132 5.132 5.132 90.00 90.00 90.00
Space group Pm-3m (No. 221)
Inequivalent atoms, fractional coordinates:
Rb 0.000 0.000 0.000 [1 per cell]
Zn 0.000 0.500 0.500 [3 per cell]
Ag 0.500 0.500 0.500 [1 per cell]

Calculated values
The calculated formation energy is 152 meV per atom. The density of states at the Fermi level comes out at 1.9 states/eV/f.u.

***

# NiRhSCl2

A relaxed structure of NiRhSCl2 (PBE, Alexandria).

Lattice parameters (Å, degrees): 4.499 4.499 4.600 90.00 90.00 90.00
Space group P4/mmm (No. 123)
Inequivalent atoms, fractional coordinates:
Ni 0.000 0.000 0.000 [1 per cell]
Rh 0.500 0.500 0.500 [1 per cell]
S 0.000 0.000 0.500 [1 per cell]
Cl 0.000 0.500 0.000 [2 per cell]

Calculated values
As for the energy: -18.50 eV for the cell shown. The density of states at the Fermi level comes out at 7.6 states/eV/f.u.

***

# PrTh2PaP4

A relaxed structure of PrTh2PaP4 (PBE, Alexandria).

Lattice parameters (Å, degrees): 7.114 4.110 7.119 90.00 109.46 90.00
Space group P2/m (No. 10)
Inequivalent atoms, fractional coordinates:
Pr 0.000 0.000 0.000 [1 per cell]
Th 0.500 0.000 0.500 [1 per cell]
Th 0.500 0.500 0.000 [1 per cell]
Pa 0.000 0.500 0.500 [1 per cell]
P 0.241 0.000 0.739 [2 per cell]
P 0.248 0.500 0.259 [2 per cell]

Calculated values
The calculated formation energy is -1476 meV per atom. The density of states at the Fermi level comes out at 5.6 states/eV/f.u.